Computed, not measured: a relaxed Na3MnO crystal at the GGA+U level of DFT.

Cell: 5.818 5.818 5.818 Å, 90.00 90.00 90.00°
Sites, in units of the cell vectors:
Na 0.000 0.000 0.500
Na 0.000 0.500 0.000
Na 0.500 0.000 0.000
Mn 0.000 0.000 0.000
O 0.500 0.500 0.500

Final energy (eV per cell): -12.05
Density of states at the Fermi level (states/eV per atom): 1.61
Relative energy among the computed polymorphs (meV/atom): 1134
Calculated volume (Å³ per atom): 39.4
Crystal system: cubic